{
  "formula": "NdErTm2Se6",
  "functional": "PBE",
  "state": "relaxed",
  "magnetic_moment_mub_per_atom": 0.000,
  "e_form_raw_ev_per_fu": -18.4,
  "lattice": [[3.606, 2.082, 6.455], [-3.606, 2.082, 6.455], [0.000, -4.164, 6.455]],
  "species": ["Nd", "Er", "Tm", "Tm", "Se", "Se", "Se", "Se", "Se", "Se"],
  "fractional_positions": [[0.000, 0.000, 0.000], [0.494, 0.494, 0.494], [0.298, 0.298, 0.298], [0.801, 0.801, 0.801], [0.085, 0.682, 0.419], [0.201, 0.582, 0.900], [0.419, 0.085, 0.682], [0.582, 0.900, 0.201], [0.682, 0.419, 0.085], [0.900, 0.201, 0.582]]
}



{
  "formula": "Sm6Hg8Au",
  "functional": "PBE",
  "state": "relaxed",
  "magnetic_moment_mub_per_atom": 0.000,
  "delta_e_f_ev_per_fu": -5.509,
  "lattice": [[4.376, 2.527, 6.544], [-4.376, 2.527, 6.544], [0.000, -5.054, 6.544]],
  "species": ["Sm", "Sm", "Sm", "Sm", "Sm", "Sm", "Hg", "Hg", "Hg", "Hg", "Hg", "Hg", "Hg", "Hg", "Au"],
  "fractional_positions": [[0.014, 0.406, 0.767], [0.233, 0.986, 0.594], [0.406, 0.767, 0.014], [0.594, 0.233, 0.986], [0.767, 0.014, 0.406], [0.986, 0.594, 0.233], [0.168, 0.739, 0.442], [0.261, 0.558, 0.832], [0.357, 0.357, 0.357], [0.442, 0.168, 0.739], [0.558, 0.832, 0.261], [0.643, 0.643, 0.643], [0.739, 0.442, 0.168], [0.832, 0.261, 0.558], [0.000, 0.000, 0.000]]
}